Entry 1:
Compound: Rb2AgICl4
Source: Alexandria
Functional: GGA-PBE
Structure: relaxed

Properties
Symmetry: No. 15

Geometry as CIF:
```
data_Rb2AgICl4
_cell_length_a 9.618
_cell_length_b 9.618
_cell_length_c 9.651
_cell_angle_alpha 109.51
_cell_angle_beta 109.51
_cell_angle_gamma 110.93
_symmetry_space_group_name_H-M 'P 1'
_symmetry_Int_Tables_number 1
loop_
_symmetry_equiv_pos_as_xyz
'x,y,z'
loop_
_atom_site_label
_atom_site_type_symbol
_atom_site_fract_x
_atom_site_fract_y
_atom_site_fract_z
Cl1 Cl 0.723 0.302 0.938
Cl2 Cl 0.198 0.777 0.562
Cl3 Cl 0.802 0.223 0.438
Cl4 Cl 0.783 0.867 0.085
Cl5 Cl 0.277 0.698 0.062
Cl6 Cl 0.633 0.717 0.415
Cl7 Cl 0.217 0.133 0.915
Cl8 Cl 0.367 0.283 0.585
Rb1 Rb 0.000 0.000 0.500
Rb2 Rb 0.500 0.000 0.000
Rb3 Rb 0.500 0.500 0.000
Rb4 Rb 0.500 0.000 0.500
Ag1 Ag 0.000 0.500 0.000
Ag2 Ag 0.000 0.500 0.500
I1 I 0.500 0.500 0.500
I2 I 0.000 0.000 0.000
```


Entry 2:
Compound: RbAg2ICl6
Source: Alexandria
Functional: GGA-PBE
Structure: relaxed

Properties
Symmetry: No. 1

Geometry as CIF:
```
data_RbAg2ICl6
_cell_length_a 7.102
_cell_length_b 7.850
_cell_length_c 7.812
_cell_angle_alpha 75.79
_cell_angle_beta 70.21
_cell_angle_gamma 58.33
_symmetry_space_group_name_H-M 'P 1'
_symmetry_Int_Tables_number 1
loop_
_symmetry_equiv_pos_as_xyz
'x,y,z'
loop_
_atom_site_label
_atom_site_type_symbol
_atom_site_fract_x
_atom_site_fract_y
_atom_site_fract_z
Cl1 Cl 0.395 0.751 0.651
Cl2 Cl 0.524 0.283 0.304
Cl3 Cl 0.120 0.356 0.845
Cl4 Cl 0.934 0.465 0.317
Cl5 Cl 0.181 0.872 0.199
Cl6 Cl 0.711 0.170 0.829
I1 I 0.322 0.322 0.075
Ag1 Ag 0.513 0.636 0.332
Ag2 Ag 0.112 0.001 0.884
Rb1 Rb 0.849 0.806 0.580
```


These records have formation energy (no corrections) values of -1.112, -0.639 eV per atom, in the order they appear.
These records have magnetization values of 0.00, 0.00 μB/f.u., in the order they appear.